Entry 1:
First-principles (PBE-GGA) data for GeB2SbAs after structural relaxation, as listed in Alexandria.

Properties
- Space-group type: P4/mmm
- ΔE_f (raw): 1694 meV/atom

a b c (Å): 4.3968 5.5093 4.3968
angles (deg): 90.00 90.00 90.00
With the nearest neighbours (Å) after each atom.
Element x y z (fractional)
B: 0.5000 0.0000 0.0000  2 Sb 2.20
B: 0.0000 0.0000 0.5000  2 Sb 2.20
As: 0.0000 0.5000 0.0000  2 Sb 2.75
Sb: 0.0000 0.0000 0.0000  4 B 2.20
Ge: 0.5000 0.5000 0.5000  4 As 3.11

---

Entry 2:
First-principles (PBE-GGA) data for GeBAsSe2 after structural relaxation, as listed in Alexandria.

Properties
- Excess energy over the best structure of this formula in the dataset: 0 meV per atom
- Space-group type: P4/mmm
- ΔE_f (raw): 659 meV/atom

a b c (Å): 4.7637 4.7637 4.1189
angles (deg): 90.00 90.00 90.00
With the nearest neighbours (Å) after each atom.
Element x y z (fractional)
Ge: 0.5000 0.5000 0.5000  8 Se 3.15, 4 As 3.37
As: 0.0000 0.0000 0.5000  2 B 2.06
Se: 0.5000 0.0000 0.0000  2 B 2.38
Se: 0.0000 0.5000 0.0000  2 B 2.38
B: 0.0000 0.0000 0.0000  2 As 2.06

---

Entry 3:
First-principles (PBE-GGA) data for GeBAs2Se after structural relaxation, as listed in Alexandria.

Properties
- Excess energy over the best structure of this formula in the dataset: 797 meV per atom
- Space-group type: P4/mmm
- ΔE_f (raw): 1518 meV/atom

a b c (Å): 4.9320 4.9320 5.0062
angles (deg): 90.00 90.00 90.00
With the nearest neighbours (Å) after each atom.
Element x y z (fractional)
Ge: 0.0000 0.0000 0.0000  4 As 2.47, 2 Se 2.50
As: 0.0000 0.5000 0.0000  2 Ge 2.47
As: 0.5000 0.0000 0.0000  2 Ge 2.47
Se: 0.0000 0.0000 0.5000  2 Ge 2.50
B: 0.5000 0.5000 0.5000  4 Se 3.49, 8 As 3.51

---

Entry 4:
First-principles (PBE-GGA) data for GeBAs2Se after structural relaxation, as listed in Alexandria.

Properties
- Excess energy over the best structure of this formula in the dataset: 0 meV per atom
- Space-group type: P4/mmm
- ΔE_f (raw): 721 meV/atom

a b c (Å): 4.4528 4.4528 4.5211
angles (deg): 90.00 90.00 90.00
With the nearest neighbours (Å) after each atom.
Element x y z (fractional)
Se: 0.0000 0.0000 0.5000  2 B 2.26
As: 0.5000 0.0000 0.0000  2 B 2.23
As: 0.0000 0.5000 0.0000  2 B 2.23
B: 0.0000 0.0000 0.0000  4 As 2.23, 2 Se 2.26
Ge: 0.5000 0.5000 0.5000  4 Se 3.15, 8 As 3.17

---

Entry 5:
First-principles (PBE-GGA) data for GeBAsSe2 after structural relaxation, as listed in Alexandria.

Properties
- Excess energy over the best structure of this formula in the dataset: 734 meV per atom
- Space-group type: P4/mmm
- ΔE_f (raw): 1393 meV/atom

a b c (Å): 5.0146 5.0146 4.9193
angles (deg): 90.00 90.00 90.00
With the nearest neighbours (Å) after each atom.
Element x y z (fractional)
Ge: 0.0000 0.0000 0.0000  2 As 2.46, 4 Se 2.51
Se: 0.0000 0.5000 0.0000  2 Ge 2.51
Se: 0.5000 0.0000 0.0000  2 Ge 2.51
As: 0.0000 0.0000 0.5000  2 Ge 2.46
B: 0.5000 0.5000 0.5000  8 Se 3.51, 4 As 3.55

---

Entry 6:
First-principles (PBE-GGA) data for ZrGeB2As after structural relaxation, as listed in Alexandria.

Properties
- Space-group type: P4/mmm
- DFT formation energy: 1292.7 meV/atom

a b c (Å): 4.5084 5.1712 4.5084
angles (deg): 90.00 90.00 90.00
With the nearest neighbours (Å) after each atom.
Element x y z (fractional)
B: 0.0000 0.0000 0.5000  2 Zr 2.25
B: 0.5000 0.0000 0.0000  2 Zr 2.25
As: 0.0000 0.5000 0.0000  2 Zr 2.59
Zr: 0.0000 0.0000 0.0000  4 B 2.25
Ge: 0.5000 0.5000 0.5000  4 As 3.19, 8 B 3.43

---

Entry 7:
First-principles (PBE-GGA) data for BAs2H after structural relaxation, as listed in Alexandria.

Properties
- Excess energy over the best structure of this formula in the dataset: 0 meV per atom
- Space-group type: I-42d

a b c (Å): 4.8905 4.8905 5.7631
angles (deg): 64.89 64.89 90.00
With the nearest neighbours (Å) after each atom.
Element x y z (fractional)
B: 0.7500 0.2500 0.5000  4 As 2.09
B: 0.0000 0.0000 0.0000  4 As 2.09
H: 0.5000 0.5000 0.0000  4 As 2.07
H: 0.2500 0.7500 0.5000  4 As 2.07
As: 0.3750 0.3782 0.7500  2 H 2.07, 2 B 2.09
As: 0.1282 0.6250 0.2500  2 H 2.07, 2 B 2.09
As: 0.6218 0.1250 0.2500  2 H 2.07, 2 B 2.09
As: 0.8750 0.8718 0.7500  2 H 2.07, 2 B 2.09

---

Entry 8:
First-principles (PBE-GGA) data for B3AsH after structural relaxation, as listed in Alexandria.

Properties
- Excess energy over the best structure of this formula in the dataset: 564 meV per atom
- Space-group type: Pm-3m

a b c (Å): 4.1225 4.1225 4.1225
angles (deg): 90.00 90.00 90.00
With the nearest neighbours (Å) after each atom.
Element x y z (fractional)
As: 0.0000 0.0000 0.0000  6 B 2.06
B: 0.0000 0.5000 0.0000  2 As 2.06
B: 0.5000 0.0000 0.0000  2 As 2.06
B: 0.0000 0.0000 0.5000  2 As 2.06
H: 0.5000 0.5000 0.5000  12 B 2.92

---

Entry 9:
First-principles (PBE-GGA) data for B2AsH after structural relaxation, as listed in Alexandria.

Properties
- Excess energy over the best structure of this formula in the dataset: 998 meV per atom
- Space-group type: Fm-3m

a b c (Å): 3.7337 3.7337 3.7337
angles (deg): 60.00 60.00 60.00
With the nearest neighbours (Å) after each atom.
Element x y z (fractional)
B: 0.2500 0.2500 0.2500  4 As 2.29, 4 H 2.29
B: 0.7500 0.7500 0.7500  4 H 2.29, 4 As 2.29
As: 0.5000 0.5000 0.5000  8 B 2.29
H: 0.0000 0.0000 0.0000  8 B 2.29

---

Entry 10:
First-principles (PBE-GGA) data for B3AsH after structural relaxation, as listed in Alexandria.

Properties
- Excess energy over the best structure of this formula in the dataset: 0 meV per atom
- Space-group type: Pm-3m

a b c (Å): 3.4928 3.4928 3.4928
angles (deg): 90.00 90.00 90.00
With the nearest neighbours (Å) after each atom.
Element x y z (fractional)
B: 0.0000 0.0000 0.5000  2 H 1.75
B: 0.0000 0.5000 0.0000  2 H 1.75
B: 0.5000 0.0000 0.0000  2 H 1.75
H: 0.0000 0.0000 0.0000  6 B 1.75
As: 0.5000 0.5000 0.5000  12 B 2.47

---

Entry 11:
First-principles (PBE-GGA) data for B2AsH6 after structural relaxation, as listed in Alexandria.

Properties
- Space-group type: I4/mmm
- E_tot: -2.75 eV/atom

a b c (Å): 4.2182 4.2182 4.3445
angles (deg): 59.00 59.01 61.99
With the nearest neighbours (Å) after each atom.
Element x y z (fractional)
B: 0.7500 0.7500 0.7500  12 H 2.16-2.22
B: 0.2500 0.2500 0.2500  12 H 2.16-2.22
H: 0.3265 0.3265 0.6735  4 H 1.45
H: 0.6709 0.3291 0.6709  4 H 1.45-1.49
H: 0.3291 0.6709 0.3291  4 H 1.45-1.49
H: 0.6709 0.3291 0.3291  4 H 1.45-1.49
H: 0.6735 0.6735 0.3265  4 H 1.45
H: 0.3291 0.6709 0.6709  4 H 1.45-1.49
As: 0.0000 0.0000 0.0000  6 H 1.89-2.02

---

Entry 12:
First-principles (PBE-GGA) data for B2AsH after structural relaxation, as listed in Alexandria.

Properties
- Excess energy over the best structure of this formula in the dataset: 0 meV per atom
- Space-group type: I-42d

a b c (Å): 3.4683 3.4683 6.1746
angles (deg): 73.69 73.69 90.00
With the nearest neighbours (Å) after each atom.
Element x y z (fractional)
B: 0.2487 0.6250 0.2500  2 H 1.72
B: 0.5013 0.1250 0.2500  2 H 1.72
B: 0.3750 0.4987 0.7500  2 H 1.72
B: 0.8750 0.7513 0.7500  2 H 1.72
H: 0.5000 0.5000 0.0000  4 B 1.72
H: 0.2500 0.7500 0.5000  4 B 1.72
As: 0.0000 0.0000 0.0000  4 B 2.11
As: 0.7500 0.2500 0.5000  4 B 2.11